Record 1
Density functional theory data (PBEsol) for a relaxed Y2IrAu crystal.

Calculated values
Space group: Fm-3m (225)
Total energy in eV/atom: -7.66
E_form in eV per atom: -0.816
DOS(E_F) in states/eV per atom: 0.516
Mass density in g/cm³: 11.4

abc: 4.8930 4.8930 4.8930
angles: 60.00 60.00 60.00
Fractional positions:
1 Y 0.2500 0.2500 0.2500
2 Y 0.7500 0.7500 0.7500
3 Ir 0.0000 0.0000 0.0000
4 Au 0.5000 0.5000 0.5000

***

Record 2
Density functional theory data (PBEsol) for a relaxed BaAs3Os crystal.

Calculated values
Space group: Pm-3m (221)
Total energy in eV/atom: -5.91
E_form in eV per atom: 0.029
DOS(E_F) in states/eV per atom: 0.973
Mass density in g/cm³: 7.7

abc: 4.9102 4.9102 4.9102
angles: 90.00 90.00 90.00
Fractional positions:
1 Ba 0.0000 0.0000 0.0000
2 As 0.0000 0.5000 0.5000
3 As 0.5000 0.0000 0.5000
4 As 0.5000 0.5000 0.0000
5 Os 0.5000 0.5000 0.5000

***

Record 3
Density functional theory data (PBEsol) for a relaxed SrTiFe3Bi3O12 crystal.

Calculated values
Space group: R3 (146)
Total energy in eV/atom: -7.35
Energy relative to the elements, uncorrected in meV/atom: -1704
DOS(E_F) in states/eV per atom: 0.279
Mass density in g/cm³: 7.9

abc: 9.4901 9.4901 9.4901
angles: 33.74 33.74 33.74
Fractional positions:
1 Sr 0.0000 0.0000 0.0000
2 Ti 0.6215 0.6215 0.6215
3 Fe 0.1284 0.1284 0.1284
4 Fe 0.3739 0.3739 0.3739
5 Fe 0.8747 0.8747 0.8747
6 Bi 0.2383 0.2383 0.2383
7 Bi 0.4869 0.4869 0.4869
8 Bi 0.7384 0.7384 0.7384
9 O 0.0775 0.4840 0.9518
10 O 0.1965 0.7579 0.3156
11 O 0.2529 0.8240 0.6842
12 O 0.3156 0.1965 0.7579
13 O 0.4673 0.5645 0.9876
14 O 0.4840 0.9518 0.0775
15 O 0.5645 0.9876 0.4673
16 O 0.6842 0.2529 0.8240
17 O 0.7579 0.3156 0.1965
18 O 0.8240 0.6842 0.2529
19 O 0.9518 0.0775 0.4840
20 O 0.9876 0.4673 0.5645